DFT (GGA-PBE) results for a relaxed structure of KTl2IF2.

Cell: 6.508 7.682 7.631 Å, 105.16 90.00 90.00°
Fractional coordinates of all 12 atoms:
Tl: 0.250 0.612 0.713
Tl: 0.750 0.912 0.563
Tl: 0.250 0.088 0.437
Tl: 0.750 0.388 0.287
I: 0.750 0.352 0.792
I: 0.250 0.648 0.208
K: 0.750 0.859 0.048
K: 0.250 0.141 0.952
F: 0.995 0.131 0.218
F: 0.505 0.131 0.218
F: 0.005 0.869 0.782
F: 0.495 0.869 0.782

Output
Uncorrected energy: -3.554 eV per atom
Raw formation energy: -1.700 eV per atom
Spin magnetization: 0.0 μB per cell
Density: 5.526 Mg/m³